1.
Y8Tm3 | GGA-PBE | relaxed Values from VASP.

```
&SYSTEM
  ibrav = 0, nat = 11, ntyp = 2
/
ATOMIC_SPECIES
Y 88.91 Y.upf
Tm 168.93 Tm.upf
ATOMIC_POSITIONS crystal
Y 0.117 0.117 0.117
Y 0.194 0.349 0.618
Y 0.349 0.618 0.194
Y 0.382 0.806 0.651
Y 0.618 0.194 0.349
Y 0.651 0.382 0.806
Y 0.806 0.651 0.382
Y 0.883 0.883 0.883
Tm 0.000 0.000 0.500
Tm 0.000 0.500 0.000
Tm 0.500 0.000 0.000
CELL_PARAMETERS angstrom
4.828 2.787 4.480
-4.828 2.787 4.480
0.000 -5.574 4.480
```

Properties
Energy above the most stable polymorph in this dataset in meV per atom: 128

---

2.
YTm2 | GGA-PBE | relaxed Values from VASP.

```
&SYSTEM
  ibrav = 0, nat = 6, ntyp = 2
/
ATOMIC_SPECIES
Y 88.91 Y.upf
Tm 168.93 Tm.upf
ATOMIC_POSITIONS crystal
Y 0.166 0.166 0.084
Y 0.834 0.834 0.916
Tm 0.166 0.166 0.582
Tm 0.500 0.500 0.253
Tm 0.500 0.500 0.747
Tm 0.834 0.834 0.418
CELL_PARAMETERS angstrom
7.653 -1.758 0.000
7.653 1.758 0.000
-1.615 0.000 6.848
```

Properties
Energy above the most stable polymorph in this dataset in meV per atom: 0

---

3.
Y13Tm2 | GGA-PBE | relaxed Values from VASP.

```
&SYSTEM
  ibrav = 0, nat = 15, ntyp = 2
/
ATOMIC_SPECIES
Y 88.91 Y.upf
Tm 168.93 Tm.upf
ATOMIC_POSITIONS crystal
Y 0.000 0.000 0.000
Y 0.042 0.547 0.547
Y 0.208 0.708 0.708
Y 0.292 0.292 0.792
Y 0.292 0.792 0.292
Y 0.453 0.453 0.958
Y 0.453 0.958 0.453
Y 0.547 0.042 0.547
Y 0.547 0.547 0.042
Y 0.708 0.208 0.708
Y 0.708 0.708 0.208
Y 0.792 0.292 0.292
Y 0.958 0.453 0.453
Tm 0.206 0.206 0.206
Tm 0.794 0.794 0.794
CELL_PARAMETERS angstrom
3.522 2.033 11.511
-3.522 2.033 11.511
0.000 -4.067 11.511
```

Properties
Energy above the most stable polymorph in this dataset in meV per atom: 97

---

4.
Y2Tm3 | GGA-PBE | relaxed Values from VASP.

```
&SYSTEM
  ibrav = 0, nat = 5, ntyp = 2
/
ATOMIC_SPECIES
Y 88.91 Y.upf
Tm 168.93 Tm.upf
ATOMIC_POSITIONS crystal
Y 0.099 0.099 0.300
Y 0.901 0.901 0.700
Tm 0.300 0.300 0.902
Tm 0.500 0.500 0.500
Tm 0.700 0.700 0.098
CELL_PARAMETERS angstrom
5.567 -2.491 0.000
5.567 2.491 0.000
-5.562 0.000 5.571
```

---

5.
Y7Tm | GGA-PBE | relaxed Values from VASP.

```
&SYSTEM
  ibrav = 0, nat = 8, ntyp = 2
/
ATOMIC_SPECIES
Y 88.91 Y.upf
Tm 168.93 Tm.upf
ATOMIC_POSITIONS crystal
Y 0.000 0.000 0.000
Y 0.101 0.368 0.733
Y 0.261 0.261 0.000
Y 0.365 0.632 0.733
Y 0.635 0.368 0.267
Y 0.739 0.739 0.000
Y 0.899 0.632 0.267
Tm 0.500 0.000 0.500
CELL_PARAMETERS angstrom
-1.772 5.581 6.502
1.772 -5.581 6.502
1.772 5.581 -6.502
```

Properties
Energy above the most stable polymorph in this dataset in meV per atom: 17

---

6.
YTm5 | GGA-PBE | relaxed Values from VASP.

```
&SYSTEM
  ibrav = 0, nat = 6, ntyp = 2
/
ATOMIC_SPECIES
Y 88.91 Y.upf
Tm 168.93 Tm.upf
ATOMIC_POSITIONS crystal
Y 0.000 0.000 0.000
Tm 0.000 0.332 0.332
Tm 0.000 0.667 0.667
Tm 0.500 0.222 0.222
Tm 0.500 0.556 0.556
Tm 0.500 0.888 0.888
CELL_PARAMETERS angstrom
5.545 0.000 0.000
0.000 1.788 9.292
0.000 -1.788 9.292
```

Properties
Energy above the most stable polymorph in this dataset in meV per atom: 0

---

| no. | density of states at the Fermi level (states/eV/f.u.) | formation enthalpy at 0 K (eV/atom) | total magnetic moment (μB/cell) |
| --- | --- | --- | --- |
| 1 | 11.78 | 0.538 | 0.0 |
| 2 | 4.43 | 0.030 | 0.0 |
| 3 | 28.45 | 0.161 | 0.0 |
| 4 | 7.53 | 0.031 | 0.0 |
| 5 | 15.19 | 0.046 | 0.0 |
| 6 | 9.73 | -0.003 | 0.0 |